Entry 1:
Entry from Alexandria via LeMat-Bulk: a relaxed structure of NaBiTePOs (PBE).

Results
Formation energy from raw total energies ... 217 meV/atom
E_tot ... -4.78 eV/atom
Magnetic moment ... 0.00 μB per cell
Volume ... 264.0 Å³ per cell

Cell: 7.923 4.300 7.788 Å, 90.00 95.66 90.00°
Atoms (fractional coordinates):
Te 0.429 0.000 0.841
Te 0.429 0.500 0.341
Bi 0.142 0.000 0.483
Bi 0.142 0.500 0.983
P 0.625 0.000 0.114
P 0.625 0.500 0.614
Os 0.334 0.000 0.162
Os 0.334 0.500 0.662
Na 0.839 0.500 0.283
Na 0.839 0.000 0.783

---

Entry 2:
Entry from Alexandria via LeMat-Bulk: a relaxed structure of SiPdO (PBE).

Results
Formation energy from raw total energies ... -1062 meV/atom
E_tot ... -6.25 eV/atom
Magnetic moment ... 0.00 μB per cell
Volume ... 47.0 Å³ per cell

Cell: 2.840 2.840 6.722 Å, 90.00 90.00 120.00°
Atoms (fractional coordinates):
Si 0.667 0.333 0.375
O 0.333 0.667 0.513
Pd 0.000 0.000 0.112

---

Entry 3:
Entry from Alexandria via LeMat-Bulk: a relaxed structure of MoOs3Se (PBE).

Results
Formation energy from raw total energies ... 1919 meV/atom
E_tot ... -7.68 eV/atom
Magnetic moment ... 2.74 μB per cell
Volume ... 91.3 Å³ per cell

Cell: 4.503 4.503 4.503 Å, 90.00 90.00 90.00°
Last column: magnetic moment on the atom in μB.
Atoms (fractional coordinates):
Os 0.000 0.500 0.000  -0.06
Os 0.000 0.000 0.500  0.06
Os 0.500 0.000 0.000  -0.16
Mo 0.500 0.500 0.500  2.44
Se 0.000 0.000 0.000  0.07